1.
# KMnPb2 meta-GGA SCAN PBEsol geometry
data_KMnPb2
_chemical_formula_sum 'K1 Mn1 Pb2'
_symmetry_space_group_name_H-M 'P m m 2'
_symmetry_Int_Tables_number 25
_cell_length_a 3.4205
_cell_length_b 4.4042
_cell_length_c 7.6533
_cell_angle_alpha 90.00
_cell_angle_beta 90.00
_cell_angle_gamma 90.00
loop_
_symmetry_equiv_pos_as_xyz
'x,y,z'
'-x,-y,z'
'-x,y,z'
'x,-y,z'
loop_
_atom_site_label
_atom_site_type_symbol
_atom_site_fract_x
_atom_site_fract_y
_atom_site_fract_z
_atom_site_occupancy
K1 K 0.0000 0.0000 0.0000 1
Mn1 Mn 0.5000 0.0000 0.4828 1
Pb1 Pb 0.0000 0.5000 0.3582 1
Pb2 Pb 0.5000 0.5000 0.7124 1
# Final energy   -44.608 eV per atom
# Formation enthalpy at 0 K   -0.072 eV/atom

---

2.
# KMnPb2 meta-GGA SCAN PBEsol geometry
data_KMnPb2
_chemical_formula_sum 'K2 Mn2 Pb4'
_symmetry_space_group_name_H-M 'I m m m'
_symmetry_Int_Tables_number 71
_symmetry_space_group_name_Hall '-I 2 2'
_cell_length_a 3.3395
_cell_length_b 6.1917
_cell_length_c 10.8635
_cell_angle_alpha 90.00
_cell_angle_beta 90.00
_cell_angle_gamma 90.00
loop_
_atom_site_label
_atom_site_type_symbol
_atom_site_fract_x
_atom_site_fract_y
_atom_site_fract_z
_atom_site_occupancy
K1 K 0.0000 0.0000 0.0000 1
Mn1 Mn 0.0000 0.0000 0.5000 1
Pb1 Pb 0.0000 0.5000 0.2127 1
# Final energy   -44.472 eV per atom
# Formation enthalpy at 0 K   0.065 eV/atom

---

Which value of formation enthalpy at 0 K does entry 2 give?
0.065 eV/atom

---

What is the formula in the first record?
KMnPb2

---

The highest formation enthalpy at 0 K belongs to which entry?
number 2

---

What is the final energy in the first record?
-44.608 eV per atom